No. 1
Material: RbIn2Sb2
Method: DFT, GGA-PBEsol
State: relaxed

Geometry as POSCAR:
```
RbIn2Sb2
1.0
-1.268 4.939 -1.659
-5.096 -0.821 1.452
4.289 -0.098 5.096
In Rb Sb
2 1 2
Direct
0.371 0.371 0.742 In
0.629 0.629 0.258 In
0.000 0.000 0.000 Rb
0.250 0.750 0.500 Sb
0.750 0.250 0.500 Sb
```

## Properties
As for the magnetization: 0.00 μB/cell. The uncorrected formation energy is -208 meV/atom. The crystal system is tetragonal.

***

No. 2
Material: RbInSe2
Method: DFT, GGA-PBEsol
State: relaxed

Geometry as POSCAR:
```
RbInSe2
1.0
-6.310 -0.361 2.508
0.261 -2.781 -6.341
4.193 -4.410 3.315
Se In Rb
4 2 2
Direct
0.651 0.319 0.068 Se
0.151 0.068 0.319 Se
0.349 0.681 0.932 Se
0.849 0.932 0.681 Se
0.750 0.988 0.012 In
0.250 0.012 0.988 In
0.250 0.619 0.381 Rb
0.750 0.381 0.619 Rb
```

## Properties
As for the magnetization: 0.00 μB/cell. The uncorrected formation energy is -857 meV/atom. The crystal system is monoclinic.

***

No. 3
Material: RbIn2Se2
Method: DFT, GGA-PBEsol
State: relaxed

Geometry as POSCAR:
```
RbIn2Se2
1.0
-3.478 -0.136 2.825
0.132 -4.480 -0.053
6.180 2.375 4.166
In Se Rb
2 2 1
Direct
0.750 0.250 0.500 In
0.250 0.750 0.500 In
0.411 0.411 0.821 Se
0.589 0.589 0.179 Se
0.000 0.000 0.000 Rb
```

## Properties
As for the magnetization: 0.00 μB/cell. The uncorrected formation energy is -427 meV/atom. The crystal system is tetragonal.

***

No. 4
Material: RbInSe2
Method: DFT, GGA-PBEsol
State: relaxed

Geometry as POSCAR:
```
RbInSe2
1.0
-4.066 -5.438 1.848
1.319 0.297 -6.906
6.499 -0.317 2.680
In Se Rb
2 4 2
Direct
0.500 0.750 0.250 In
0.000 0.000 0.000 In
0.921 0.046 0.625 Se
0.579 0.875 0.954 Se
0.421 0.375 0.296 Se
0.079 0.704 0.125 Se
0.500 0.250 0.750 Rb
0.000 0.500 0.500 Rb
```

## Properties
As for the magnetization: 0.00 μB/cell. The uncorrected formation energy is -851 meV/atom. The crystal system is tetragonal.

***

No. 5
Material: RbInTcSe2
Method: DFT, GGA-PBEsol
State: relaxed

Geometry as POSCAR:
```
RbInTcSe2
1.0
4.981 0.000 0.000
0.000 4.981 0.000
0.000 0.000 5.202
In Rb Se Tc
1 1 2 1
Direct
0.000 0.000 0.500 In
0.500 0.500 0.500 Rb
0.500 0.000 0.000 Se
0.000 0.500 0.000 Se
0.000 0.000 0.000 Tc
```

## Properties
As for the magnetization: 0.04 μB/cell. The uncorrected formation energy is -102 meV/atom. The crystal system is tetragonal.

***

No. 6
Material: RbIn2Si2
Method: DFT, GGA-PBEsol
State: relaxed

Geometry as POSCAR:
```
RbIn2Si2
1.0
4.712 0.000 0.000
0.000 4.712 0.000
-2.356 -2.356 5.696
In Si Rb
2 2 1
Direct
0.374 0.374 0.748 In
0.626 0.626 0.252 In
0.250 0.750 0.500 Si
0.750 0.250 0.500 Si
0.000 0.000 0.000 Rb
```

## Properties
As for the magnetization: 0.00 μB/cell. The uncorrected formation energy is 108 meV/atom. The crystal system is tetragonal.

***

No. 7
Material: RbIn2Sn2
Method: DFT, GGA-PBEsol
State: relaxed

Geometry as POSCAR:
```
RbIn2Sn2
1.0
5.237 0.000 0.000
0.000 5.237 0.000
-2.619 -2.619 5.709
In Sn Rb
2 2 1
Direct
0.750 0.250 0.500 In
0.250 0.750 0.500 In
0.626 0.626 0.252 Sn
0.374 0.374 0.748 Sn
0.000 0.000 0.000 Rb
```

## Properties
As for the magnetization: 0.00 μB/cell. The formation energy from the elements comes out at -83.0 kJ/mol of formula units. The crystal system is tetragonal.

***

No. 8
Material: RbInSn
Method: DFT, GGA-PBEsol
State: relaxed

Geometry as POSCAR:
```
RbInSn
1.0
4.853 0.000 0.000
0.000 4.853 0.000
0.000 0.000 8.736
Sn In Rb
2 2 2
Direct
0.000 0.500 0.705 Sn
0.500 0.000 0.295 Sn
0.000 0.000 0.500 In
0.500 0.500 0.500 In
0.000 0.500 0.157 Rb
0.500 0.000 0.843 Rb
```

## Properties
As for the magnetization: 0.00 μB/cell. The formation energy from the elements comes out at -68.3 kJ/mol of formula units. The crystal system is tetragonal.

***

No. 9
Material: RbSrIn3
Method: DFT, GGA-PBEsol
State: relaxed

Geometry as POSCAR:
```
RbSrIn3
1.0
5.970 0.000 0.000
0.000 5.970 0.000
0.000 0.000 5.970
In Sr Rb
3 1 1
Direct
0.000 0.000 0.500 In
0.500 0.000 0.000 In
0.000 0.500 0.000 In
0.500 0.500 0.500 Sr
0.000 0.000 0.000 Rb
```

## Properties
As for the magnetization: 0.00 μB/cell. The formation energy from the elements comes out at 311.3 kJ/mol of formula units. The crystal system is cubic.

***

No. 10
Material: Rb2SrIn2
Method: DFT, GGA-PBEsol
State: relaxed

Geometry as POSCAR:
```
Rb2SrIn2
1.0
4.934 0.000 0.000
0.000 4.934 0.000
-2.467 -2.467 8.443
Sr Rb In
1 2 2
Direct
0.000 0.000 0.000 Sr
0.750 0.250 0.500 Rb
0.250 0.750 0.500 Rb
0.415 0.415 0.829 In
0.585 0.585 0.171 In
```

## Properties
As for the magnetization: 0.00 μB/cell. The formation energy from the elements comes out at 17.2 kJ/mol of formula units. The crystal system is tetragonal.

***

No. 11
Material: RbSrIn2Tc
Method: DFT, GGA-PBEsol
State: relaxed

Geometry as POSCAR:
```
RbSrIn2Tc
1.0
-0.479 -4.995 -1.652
-0.696 -1.584 4.992
-5.371 0.690 -0.530
Tc Sr Rb In
1 1 1 2
Direct
0.000 0.000 0.000 Tc
0.500 0.500 0.500 Sr
0.000 0.000 0.500 Rb
0.000 0.500 0.000 In
0.500 0.000 0.000 In
```

## Properties
As for the magnetization: 0.00 μB/cell. The formation energy from the elements comes out at 229.6 kJ/mol of formula units. The crystal system is tetragonal.

***

No. 12
Material: RbInTc3
Method: DFT, GGA-PBEsol
State: relaxed

Geometry as POSCAR:
```
RbInTc3
1.0
-0.321 -4.176 -2.944
-2.851 -2.302 3.576
-4.241 1.864 -2.181
Rb In Tc
1 1 3
Direct
0.500 0.500 0.500 Rb
0.000 0.000 0.000 In
0.500 0.000 0.000 Tc
0.000 0.000 0.500 Tc
0.000 0.500 0.000 Tc
```

## Properties
As for the magnetization: 8.72 μB/cell. The formation energy from the elements comes out at 1186.6 kJ/mol of formula units. The crystal system is cubic.

***

No. 13
Material: RbInTe2
Method: DFT, GGA-PBEsol
State: relaxed

Geometry as POSCAR:
```
RbInTe2
1.0
7.496 0.104 0.162
-2.993 6.874 -0.162
-2.993 -3.011 6.181
Rb Te In
2 4 2
Direct
0.500 0.250 0.750 Rb
0.000 0.500 0.500 Rb
0.424 0.375 0.299 Te
0.924 0.049 0.625 Te
0.076 0.701 0.125 Te
0.576 0.875 0.951 Te
0.000 0.000 0.000 In
0.500 0.750 0.250 In
```

## Properties
As for the magnetization: 0.00 μB/cell. The uncorrected formation energy is -622 meV/atom. The crystal system is tetragonal.

***

No. 14
Material: RbInTe2
Method: DFT, GGA-PBEsol
State: relaxed

Geometry as POSCAR:
```
RbInTe2
1.0
-0.511 -4.266 -5.766
-1.875 -2.643 6.420
-4.615 5.375 -1.233
Te Rb In
4 2 2
Direct
0.174 0.674 0.847 Te
0.326 0.174 0.500 Te
0.674 0.826 0.500 Te
0.826 0.326 0.153 Te
0.750 0.750 0.000 Rb
0.250 0.250 0.000 Rb
0.250 0.750 0.500 In
0.750 0.250 0.500 In
```

## Properties
As for the magnetization: 0.00 μB/cell. The uncorrected formation energy is -679 meV/atom. The crystal system is tetragonal.

***

No. 15
Material: RbTl2In2
Method: DFT, GGA-PBEsol
State: relaxed

Geometry as POSCAR:
```
RbTl2In2
1.0
4.905 0.000 0.000
0.000 4.905 0.000
-2.452 -2.452 6.533
In Tl Rb
2 2 1
Direct
0.750 0.250 0.500 In
0.250 0.750 0.500 In
0.386 0.386 0.772 Tl
0.614 0.614 0.228 Tl
0.000 0.000 0.000 Rb
```

## Properties
As for the magnetization: 0.00 μB/cell. The formation energy from the elements comes out at -37.4 kJ/mol of formula units. For the energy relative to the lowest polymorph listed for this composition, the calculation gives 0 meV/atom. The crystal system is tetragonal.

***

No. 16
Material: RbTl3In
Method: DFT, GGA-PBEsol
State: relaxed

Geometry as POSCAR:
```
RbTl3In
1.0
5.805 0.000 0.000
0.000 5.805 0.000
0.000 0.000 5.805
Tl In Rb
3 1 1
Direct
0.000 0.000 0.500 Tl
0.000 0.500 0.000 Tl
0.500 0.000 0.000 Tl
0.000 0.000 0.000 In
0.500 0.500 0.500 Rb
```

## Properties
As for the magnetization: 0.00 μB/cell. The formation energy from the elements comes out at 75.2 kJ/mol of formula units. The crystal system is cubic.

***

No. 17
Material: RbTl2In
Method: DFT, GGA-PBEsol
State: relaxed

Geometry as POSCAR:
```
RbTl2In
1.0
5.537 0.000 0.000
2.769 4.795 0.000
2.769 1.598 4.521
Tl In Rb
2 1 1
Direct
0.750 0.750 0.750 Tl
0.250 0.250 0.250 Tl
0.500 0.500 0.500 In
0.000 0.000 0.000 Rb
```

## Properties
As for the magnetization: 0.00 μB/cell. The formation energy from the elements comes out at -7.9 kJ/mol of formula units. The crystal system is cubic.

***

No. 18
Material: RbTlIn3
Method: DFT, GGA-PBEsol
State: relaxed

Geometry as POSCAR:
```
RbTlIn3
1.0
6.078 0.000 0.000
0.000 6.078 0.000
0.000 0.000 6.078
Tl In Rb
1 3 1
Direct
0.500 0.500 0.500 Tl
0.000 0.500 0.000 In
0.500 0.000 0.000 In
0.000 0.000 0.500 In
0.000 0.000 0.000 Rb
```

## Properties
As for the magnetization: 0.00 μB/cell. The formation energy from the elements comes out at 470.3 kJ/mol of formula units. The crystal system is cubic.

***

No. 19
Material: RbTl2In2
Method: DFT, GGA-PBEsol
State: relaxed

Geometry as POSCAR:
```
RbTl2In2
1.0
3.433 0.000 0.000
0.000 9.356 0.000
0.000 0.000 9.356
Tl In Rb
4 4 2
Direct
0.000 0.357 0.857 Tl
0.000 0.857 0.643 Tl
0.000 0.143 0.357 Tl
0.000 0.643 0.143 Tl
0.500 0.354 0.146 In
0.500 0.646 0.854 In
0.500 0.146 0.646 In
0.500 0.854 0.354 In
0.000 0.500 0.500 Rb
0.000 0.000 0.000 Rb
```

## Properties
As for the magnetization: 0.00 μB/cell. The formation energy from the elements comes out at -19.3 kJ/mol of formula units. For the energy relative to the lowest polymorph listed for this composition, the calculation gives 38 meV/atom. The crystal system is tetragonal.

***

No. 20
Material: RbInW3
Method: DFT, GGA-PBEsol
State: relaxed

Geometry as POSCAR:
```
RbInW3
1.0
4.693 0.000 0.000
0.000 4.693 0.000
0.000 0.000 4.693
W Rb In
3 1 1
Direct
0.000 0.000 0.500 W
0.000 0.500 0.000 W
0.500 0.000 0.000 W
0.000 0.000 0.000 Rb
0.500 0.500 0.500 In
```

## Properties
As for the magnetization: 0.00 μB/cell. The formation energy from the elements comes out at 1805.8 kJ/mol of formula units. The crystal system is cubic.

***

No. 21
Material: Rb2Zn2In
Method: DFT, GGA-PBEsol
State: relaxed

Geometry as POSCAR:
```
Rb2Zn2In
1.0
-1.507 -2.610 4.048
-3.874 -1.863 -2.643
6.594 -3.080 -2.677
Zn Rb In
2 2 1
Direct
0.587 0.587 0.173 Zn
0.413 0.413 0.827 Zn
0.250 0.750 0.500 Rb
0.750 0.250 0.500 Rb
0.000 0.000 0.000 In
```

## Properties
As for the magnetization: 0.00 μB/cell. The formation energy from the elements comes out at 219.8 kJ/mol of formula units. The crystal system is tetragonal.

***

No. 22
Material: RbZn2In2
Method: DFT, GGA-PBEsol
State: relaxed

Geometry as POSCAR:
```
RbZn2In2
1.0
-1.285 -1.111 -4.420
3.664 -2.982 -0.316
-4.495 -2.229 4.403
In Zn Rb
2 2 1
Direct
0.630 0.630 0.260 In
0.370 0.370 0.740 In
0.250 0.750 0.500 Zn
0.750 0.250 0.500 Zn
0.000 0.000 0.000 Rb
```

## Properties
As for the magnetization: 0.00 μB/cell. The formation energy from the elements comes out at 16.3 kJ/mol of formula units. The crystal system is tetragonal.

***

No. 23
Material: InRe
Method: DFT, GGA-PBEsol
State: relaxed

Geometry as POSCAR:
```
InRe
1.0
-1.424 -3.780 1.102
3.741 -0.934 1.630
-2.289 3.777 2.043
In Re
2 2
Direct
0.250 0.750 0.500 In
0.000 0.000 0.000 In
0.750 0.250 0.500 Re
0.500 0.500 0.000 Re
```

## Properties
As for the magnetization: 0.00 μB/cell. The formation energy from the elements comes out at 131.8 kJ/mol of formula units. For the energy relative to the lowest polymorph listed for this composition, the calculation gives 145 meV/atom. The crystal system is tetragonal.

***

No. 24
Material: InRe2
Method: DFT, GGA-PBEsol
State: relaxed

Geometry as POSCAR:
```
InRe2
1.0
-0.810 2.840 0.373
-2.944 -1.239 3.044
4.122 1.018 1.202
Re In
2 1
Direct
0.500 0.667 0.333 Re
0.500 0.333 0.667 Re
0.000 0.000 0.000 In
```

## Properties
As for the magnetization: 0.00 μB/cell. The formation energy from the elements comes out at 191.2 kJ/mol of formula units. The crystal system is hexagonal.

***

No. 25
Material: InRe
Method: DFT, GGA-PBEsol
State: relaxed

Geometry as POSCAR:
```
InRe
1.0
-0.827 -0.852 -2.746
-3.306 -2.980 1.920
-1.629 5.071 0.548
Re In
2 2
Direct
0.850 0.659 0.699 Re
0.150 0.341 0.301 Re
0.607 0.817 0.214 In
0.393 0.183 0.786 In
```

## Properties
As for the magnetization: 0.00 μB/cell. The formation energy from the elements comes out at 105.6 kJ/mol of formula units. For the energy relative to the lowest polymorph listed for this composition, the calculation gives 10 meV/atom. The crystal system is monoclinic.

***

No. 26
Material: InRe
Method: DFT, GGA-PBEsol
State: relaxed

Geometry as POSCAR:
```
InRe
1.0
2.960 0.000 0.000
0.000 4.682 0.000
0.000 0.000 4.879
In Re
2 2
Direct
0.000 0.000 0.587 In
0.500 0.500 0.413 In
0.500 0.000 0.081 Re
0.000 0.500 0.919 Re
```

## Properties
As for the magnetization: 0.00 μB/cell. The formation energy from the elements comes out at 113.3 kJ/mol of formula units. For the energy relative to the lowest polymorph listed for this composition, the calculation gives 49 meV/atom. The crystal system is orthorhombic.

***

No. 27
Material: InRe
Method: DFT, GGA-PBEsol
State: relaxed

Geometry as POSCAR:
```
InRe
1.0
3.098 0.000 -0.011
0.000 4.307 0.000
-1.537 0.000 5.380
Re In
2 2
Direct
0.945 0.250 0.885 Re
0.055 0.750 0.115 Re
0.328 0.750 0.655 In
0.672 0.250 0.345 In
```

## Properties
As for the magnetization: 0.00 μB/cell. The formation energy from the elements comes out at 103.8 kJ/mol of formula units. For the energy relative to the lowest polymorph listed for this composition, the calculation gives 0 meV/atom. The crystal system is monoclinic.

***

No. 28
Material: InRe
Method: DFT, GGA-PBEsol
State: relaxed

Geometry as POSCAR:
```
InRe
1.0
-3.281 3.224 0.388
-1.046 -4.165 -1.694
-1.104 -1.713 4.893
In Re
2 2
Direct
0.667 0.333 0.250 In
0.333 0.667 0.750 In
0.667 0.333 0.750 Re
0.333 0.667 0.250 Re
```

## Properties
As for the magnetization: 3.36 μB/cell. The formation energy from the elements comes out at 391.4 kJ/mol of formula units. For the energy relative to the lowest polymorph listed for this composition, the calculation gives 1491 meV/atom. The crystal system is hexagonal.